1.
DFT (GGA-PBE) results for crystalline MgTl17Cd11 at its relaxed geometry.

a b c (Å): 10.1494 10.1494 10.1501
angles (deg): 109.47 109.47 109.28
With the nearest neighbours (Å) after each atom.
Fractional positions:
Mg  0.0000  0.0000  0.0000  3 Cd 3.00-3.08, 3 Tl 3.18-3.27
Tl  0.0178  0.3665  0.1809  4 Tl 3.37-3.54, 5 Cd 3.45-3.50, 1 Mg 3.47
Tl  0.0486  0.3694  0.5813  5 Cd 3.22-3.52, 7 Tl 3.38-3.55
Tl  0.0504  0.7681  0.1820  4 Cd 3.23-3.53, 7 Tl 3.37-3.53, 1 Mg 3.50
Tl  0.0798  0.6837  0.4965  5 Cd 3.26-3.54, 7 Tl 3.39-3.52
Tl  0.3651  0.3651  0.1793  11 Cd 3.51-3.58, 4 Tl 3.54-3.61, 1 Mg 3.57
Tl  0.3665  0.0178  0.1809  4 Tl 3.37-3.54, 5 Cd 3.45-3.50, 1 Mg 3.47
Tl  0.3694  0.0486  0.5813  5 Cd 3.22-3.52, 7 Tl 3.38-3.55
Tl  0.3712  0.3712  0.8278  4 Tl 3.37-3.61, 6 Cd 3.47-3.51
Tl  0.3709  0.7689  0.8646  5 Cd 3.21-3.53, 7 Tl 3.38-3.55
Tl  0.6608  0.9750  0.7872  4 Cd 3.22-3.59, 1 Mg 3.27, 7 Tl 3.38-3.52
Tl  0.6837  0.0798  0.4965  5 Cd 3.26-3.54, 7 Tl 3.39-3.52
Tl  0.6878  0.6878  0.8952  1 Mg 3.18, 4 Cd 3.32-3.55, 7 Tl 3.37-3.52
Tl  0.7171  0.7171  0.5303  4 Tl 3.38-3.58, 6 Cd 3.47
Tl  0.7681  0.0504  0.1820  4 Cd 3.23-3.53, 7 Tl 3.37-3.53, 1 Mg 3.50
Tl  0.7689  0.3709  0.8646  5 Cd 3.21-3.53, 7 Tl 3.38-3.55
Tl  0.9739  0.9739  0.4705  5 Cd 3.24-3.58, 7 Tl 3.40-3.52
Tl  0.9750  0.6608  0.7872  4 Cd 3.22-3.59, 1 Mg 3.27, 7 Tl 3.38-3.52
Cd  0.0056  0.1903  0.8187  2 Cd 2.99-3.06, 1 Mg 3.08, 3 Tl 3.26-3.32
Cd  0.1844  0.1844  0.3614  1 Mg 3.00, 2 Cd 3.07, 1 Tl 3.24
Cd  0.1838  0.5507  0.9959  3 Cd 2.99-3.07, 3 Tl 3.22-3.34
Cd  0.1903  0.0056  0.8187  2 Cd 2.99-3.06, 1 Mg 3.08, 3 Tl 3.26-3.32
Cd  0.3664  0.7313  0.3659  3 Cd 2.98-3.08, 2 Tl 3.22-3.34
Cd  0.3686  0.5544  0.5489  3 Cd 2.98-3.08, 2 Tl 3.21-3.32
Cd  0.5507  0.1838  0.9959  3 Cd 2.99-3.07, 3 Tl 3.22-3.34
Cd  0.5533  0.7331  0.1807  3 Cd 2.98-3.08, 2 Tl 3.23-3.31
Cd  0.5544  0.3686  0.5489  3 Cd 2.98-3.08, 2 Tl 3.21-3.32
Cd  0.7313  0.3664  0.3659  3 Cd 2.98-3.08, 2 Tl 3.22-3.34
Cd  0.7331  0.5533  0.1807  3 Cd 2.98-3.08, 2 Tl 3.23-3.31

Properties
Density of states at the Fermi level: 0.30 states/eV/atom
Total moment: 0.00 μB/atom
Space-group type: Cm
Calculated volume: 806.7 Å³/cell

***

2.
DFT (GGA-PBE) results for crystalline Mg7TlCd3 at its relaxed geometry.

a b c (Å): 7.5267 7.5267 5.4005
angles (deg): 110.93 110.93 89.94
With the nearest neighbours (Å) after each atom.
Fractional positions:
Mg  0.0000  0.0000  0.0000  2 Tl 2.70, 2 Cd 2.91
Mg  0.1006  0.5467  0.3228  4 Cd 2.87-3.16, 3 Mg 3.07-3.22
Mg  0.3162  0.3162  0.8201  1 Tl 2.91, 4 Cd 2.95-3.20, 2 Mg 3.22
Mg  0.4533  0.8994  0.6772  4 Cd 2.87-3.16, 3 Mg 3.07-3.22
Mg  0.5467  0.1006  0.3228  4 Cd 2.87-3.16, 3 Mg 3.07-3.22
Mg  0.6838  0.6838  0.1799  1 Tl 2.91, 4 Cd 2.95-3.20, 2 Mg 3.22
Mg  0.8994  0.4533  0.6772  4 Cd 2.87-3.16, 3 Mg 3.07-3.22
Tl  0.0000  0.0000  0.5000  4 Mg 2.70-2.91
Cd  0.2733  0.7267  0.0000  9 Mg 2.91-3.16
Cd  0.5000  0.5000  0.5000  8 Mg 2.87-3.20
Cd  0.7267  0.2733  0.0000  9 Mg 2.91-3.16

Properties
E above lowest polymorph: 0.031 eV per atom
Density of states at the Fermi level: 0.40 states/eV/atom
Total moment: 0.00 μB/atom
Space-group type: C2/m
Calculated volume: 264.1 Å³/cell

***

3.
DFT (GGA-PBE) results for crystalline Mg2TlCd6 at its relaxed geometry.

a b c (Å): 8.8090 8.8090 8.8090
angles (deg): 158.30 121.58 63.07
With the nearest neighbours (Å) after each atom.
Fractional positions:
Mg  0.1474  0.1474  0.0000  10 Cd 3.06-3.27, 2 Mg 3.32
Mg  0.8526  0.8526  0.0000  10 Cd 3.06-3.27, 2 Mg 3.32
Tl  0.5000  0.0000  0.5000  12 Cd 3.29-3.46, 2 Tl 3.32
Cd  0.1490  0.3244  0.8246  4 Cd 2.96-3.06, 3 Mg 3.06-3.27
Cd  0.1691  0.5000  0.6691  3 Cd 2.91-2.96, 4 Mg 3.12
Cd  0.4997  0.3244  0.1754  4 Cd 2.96-3.06, 3 Mg 3.06-3.27
Cd  0.5003  0.6756  0.8246  4 Cd 2.96-3.06, 3 Mg 3.06-3.27
Cd  0.8309  0.5000  0.3309  3 Cd 2.91-2.96, 4 Mg 3.12
Cd  0.8510  0.6756  0.1754  4 Cd 2.96-3.06, 3 Mg 3.06-3.27

Properties
Density of states at the Fermi level: 0.26 states/eV/atom
Total moment: 0.00 μB/atom
Space-group type: Immm
Calculated volume: 214.1 Å³/cell

***

4.
DFT (GGA-PBE) results for crystalline Mg6TlCd5 at its relaxed geometry.

a b c (Å): 8.6238 8.6238 5.0295
angles (deg): 106.49 106.49 120.19
With the nearest neighbours (Å) after each atom.
Fractional positions:
Mg  0.0775  0.4164  0.7464  7 Cd 3.00-3.12, 1 Tl 3.10
Mg  0.2437  0.2437  0.2447  6 Cd 3.02-3.09, 2 Tl 3.08-3.12
Mg  0.4164  0.0775  0.7464  7 Cd 3.00-3.12, 1 Tl 3.10
Mg  0.5836  0.9225  0.2536  7 Cd 3.00-3.12, 1 Tl 3.10
Mg  0.7563  0.7563  0.7553  6 Cd 3.02-3.09, 2 Tl 3.08-3.12
Mg  0.9225  0.5836  0.2536  7 Cd 3.00-3.12, 1 Tl 3.10
Tl  0.5000  0.5000  0.0000  8 Mg 3.08-3.12
Cd  0.0000  0.0000  0.5000  8 Mg 3.02-3.08
Cd  0.1665  0.8335  0.0000  8 Mg 3.03-3.09
Cd  0.3324  0.6676  0.5000  8 Mg 3.00-3.12
Cd  0.6676  0.3324  0.5000  8 Mg 3.00-3.12
Cd  0.8335  0.1665  0.0000  8 Mg 3.03-3.09

Properties
E above lowest polymorph: 0.000 eV per atom
Density of states at the Fermi level: 0.24 states/eV/atom
Total moment: 0.00 μB/atom
Space-group type: C2/m
Calculated volume: 265.8 Å³/cell

***

5.
DFT (GGA-PBE) results for crystalline Mg12Tl5Cd2 at its relaxed geometry.

a b c (Å): 9.4815 9.4815 5.8189
angles (deg): 103.04 103.04 65.45
With the nearest neighbours (Å) after each atom.
Fractional positions:
Mg  0.0458  0.5612  0.7947  3 Tl 3.04-3.28, 1 Cd 3.04, 6 Mg 3.08-3.40
Mg  0.0521  0.0521  0.2881  2 Cd 3.07, 4 Mg 3.18-3.32, 1 Tl 3.40
Mg  0.1506  0.6507  0.3791  3 Tl 3.00-3.22, 1 Cd 3.04, 5 Mg 3.11-3.34
Mg  0.3493  0.8494  0.6209  3 Tl 3.00-3.22, 1 Cd 3.04, 5 Mg 3.11-3.34
Mg  0.3945  0.3945  0.9880  3 Tl 3.00-3.36, 2 Cd 3.04, 3 Mg 3.08-3.33
Mg  0.4388  0.9542  0.2053  3 Tl 3.04-3.28, 1 Cd 3.04, 6 Mg 3.08-3.40
Mg  0.5612  0.0458  0.7947  3 Tl 3.04-3.28, 1 Cd 3.04, 6 Mg 3.08-3.40
Mg  0.6055  0.6055  0.0120  3 Tl 3.00-3.36, 2 Cd 3.04, 3 Mg 3.08-3.33
Mg  0.6507  0.1506  0.3791  3 Tl 3.00-3.22, 1 Cd 3.04, 5 Mg 3.11-3.34
Mg  0.8494  0.3493  0.6209  3 Tl 3.00-3.22, 1 Cd 3.04, 5 Mg 3.11-3.34
Mg  0.9479  0.9479  0.7119  2 Cd 3.07, 4 Mg 3.18-3.32, 1 Tl 3.40
Mg  0.9542  0.4388  0.2053  3 Tl 3.04-3.28, 1 Cd 3.04, 6 Mg 3.08-3.40
Tl  0.1763  0.1763  0.8636  5 Mg 3.02-3.36, 1 Tl 3.35
Tl  0.2881  0.2881  0.4516  7 Mg 3.04-3.28, 2 Tl 3.32-3.35
Tl  0.5000  0.5000  0.5000  6 Mg 3.00, 2 Tl 3.32
Tl  0.7119  0.7119  0.5484  7 Mg 3.04-3.28, 2 Tl 3.32-3.35
Tl  0.8237  0.8237  0.1364  5 Mg 3.02-3.36, 1 Tl 3.35
Cd  0.2519  0.7481  0.0000  8 Mg 3.04-3.07
Cd  0.7481  0.2519  0.0000  8 Mg 3.04-3.07

Properties
E above lowest polymorph: 0.000 eV per atom
Density of states at the Fermi level: 0.38 states/eV/atom
Total moment: 0.00 μB/atom
Space-group type: C2/m
Calculated volume: 458.4 Å³/cell

***

6.
DFT (GGA-PBE) results for crystalline Mg5Tl2Cd2 at its relaxed geometry.

a b c (Å): 4.6742 6.2069 8.3171
angles (deg): 108.32 106.18 90.53
With the nearest neighbours (Å) after each atom.
Fractional positions:
Mg  0.0000  0.0000  0.0000  2 Cd 2.99, 4 Tl 3.10-3.11, 4 Mg 3.29
Mg  0.2007  0.6088  0.3998  4 Cd 3.05-3.16, 3 Tl 3.08-3.16, 4 Mg 3.25-3.36
Mg  0.3990  0.1892  0.7939  3 Tl 2.99-3.19, 3 Cd 3.01-3.06, 4 Mg 3.25-3.29
Mg  0.6010  0.8108  0.2061  3 Tl 2.99-3.19, 3 Cd 3.01-3.06, 4 Mg 3.25-3.29
Mg  0.7993  0.3912  0.6002  4 Cd 3.05-3.16, 3 Tl 3.08-3.16, 4 Mg 3.25-3.36
Tl  0.4033  0.6828  0.8106  8 Mg 2.99-3.19
Tl  0.5967  0.3172  0.1894  8 Mg 2.99-3.19
Cd  0.1945  0.0973  0.3930  8 Mg 2.99-3.16, 1 Cd 3.32
Cd  0.8055  0.9027  0.6070  8 Mg 2.99-3.16, 1 Cd 3.32

Properties
E above lowest polymorph: 0.000 eV per atom
Density of states at the Fermi level: 0.32 states/eV/atom
Total moment: 0.00 μB/atom
Space-group type: P-1
Calculated volume: 218.7 Å³/cell

***

7.
DFT (GGA-PBE) results for crystalline Mg6Tl4Cd at its relaxed geometry.

a b c (Å): 6.1402 6.1402 7.7583
angles (deg): 102.57 102.57 92.49
With the nearest neighbours (Å) after each atom.
Fractional positions:
Mg  0.0000  0.0000  0.0000  1 Cd 3.03, 6 Tl 3.07-3.35, 2 Mg 3.30
Mg  0.1809  0.6104  0.6810  5 Tl 3.08-3.22, 1 Cd 3.14, 3 Mg 3.19-3.36
Mg  0.2800  0.7987  0.3359  2 Cd 3.04-3.10, 4 Tl 3.08-3.23, 4 Mg 3.30-3.36
Mg  0.4089  0.4089  0.0158  1 Cd 2.98, 5 Tl 3.09-3.23, 4 Mg 3.19-3.31
Mg  0.6104  0.1809  0.6810  5 Tl 3.08-3.22, 1 Cd 3.14, 3 Mg 3.19-3.36
Mg  0.7987  0.2800  0.3359  2 Cd 3.04-3.10, 4 Tl 3.08-3.23, 4 Mg 3.30-3.36
Tl  0.0977  0.0977  0.6471  8 Mg 3.10-3.23, 1 Cd 3.31
Tl  0.5134  0.9088  0.0252  7 Mg 3.07-3.23
Tl  0.6779  0.6779  0.6155  7 Mg 3.08-3.35, 1 Cd 3.26
Tl  0.9088  0.5134  0.0252  7 Mg 3.07-3.23
Cd  0.2968  0.2968  0.3429  8 Mg 2.98-3.14, 2 Tl 3.26-3.31

Properties
Density of states at the Fermi level: 0.40 states/eV/atom
Total moment: 0.00 μB/atom
Space-group type: Cm
Calculated volume: 277.4 Å³/cell

***

8.
DFT (GGA-PBE) results for crystalline Mg5Tl5Cd2 at its relaxed geometry.

a b c (Å): 8.0251 8.0251 9.2284
angles (deg): 119.45 119.45 36.74
With the nearest neighbours (Å) after each atom.
Fractional positions:
Mg  0.0000  0.0000  0.0000  4 Tl 3.15, 4 Mg 3.24-3.37
Mg  0.0864  0.0864  0.4182  5 Tl 3.07-3.19, 2 Cd 3.11-3.15, 1 Mg 3.37
Mg  0.2482  0.2482  0.2363  2 Cd 3.07, 5 Tl 3.16-3.43, 1 Mg 3.24
Mg  0.7518  0.7518  0.7637  2 Cd 3.07, 5 Tl 3.16-3.43, 1 Mg 3.24
Mg  0.9136  0.9136  0.5818  5 Tl 3.07-3.19, 2 Cd 3.11-3.15, 1 Mg 3.37
Tl  0.3299  0.3299  0.6577  6 Mg 3.07-3.41, 1 Tl 3.33
Tl  0.4018  0.4018  0.0654  3 Cd 3.10-3.29, 3 Mg 3.15-3.43, 1 Tl 3.33
Tl  0.5000  0.5000  0.5000  6 Mg 3.12-3.31, 2 Tl 3.48
Tl  0.5982  0.5982  0.9346  3 Cd 3.10-3.29, 3 Mg 3.15-3.43, 1 Tl 3.33
Tl  0.6701  0.6701  0.3423  6 Mg 3.07-3.41, 1 Tl 3.33
Cd  0.1519  0.1519  0.8023  4 Mg 3.07-3.15, 3 Tl 3.10-3.29
Cd  0.8481  0.8481  0.1977  4 Mg 3.07-3.15, 3 Tl 3.10-3.29

Properties
E above lowest polymorph: 0.012 eV per atom
Density of states at the Fermi level: 0.28 states/eV/atom
Total moment: 0.00 μB/atom
Space-group type: C2/m
Calculated volume: 304.1 Å³/cell

***

9.
DFT (GGA-PBE) results for crystalline MgTl2Cd16 at its relaxed geometry.

a b c (Å): 7.8008 7.8008 7.8008
angles (deg): 83.09 83.09 83.09
With the nearest neighbours (Å) after each atom.
Fractional positions:
Mg  0.0000  0.0000  0.0000  13 Cd 3.14-3.40
Tl  0.4380  0.4380  0.4380  10 Cd 3.45-3.66
Tl  0.7625  0.7625  0.7625  1 Mg 3.57, 15 Cd 3.58-3.91
Cd  0.0974  0.0974  0.5993  9 Cd 2.95-3.12, 1 Mg 3.15
Cd  0.0974  0.5993  0.0974  9 Cd 2.95-3.12, 1 Mg 3.15
Cd  0.0980  0.3940  0.8013  8 Cd 2.95-3.24
Cd  0.0980  0.8013  0.3940  8 Cd 2.95-3.24
Cd  0.2085  0.2085  0.2085  6 Cd 3.12-3.33, 1 Mg 3.14, 1 Tl 3.45
Cd  0.2472  0.7414  0.7414  8 Cd 2.97-3.24, 1 Mg 3.31
Cd  0.3940  0.0980  0.8013  8 Cd 2.95-3.24
Cd  0.3940  0.8013  0.0980  8 Cd 2.95-3.24
Cd  0.4591  0.4591  0.9359  8 Cd 2.97-3.24
Cd  0.4591  0.9359  0.4591  8 Cd 2.97-3.24
Cd  0.5993  0.0974  0.0974  9 Cd 2.95-3.12, 1 Mg 3.15
Cd  0.7414  0.2472  0.7414  8 Cd 2.97-3.24, 1 Mg 3.31
Cd  0.7414  0.7414  0.2472  8 Cd 2.97-3.24, 1 Mg 3.31
Cd  0.8013  0.0980  0.3940  8 Cd 2.95-3.24
Cd  0.8013  0.3940  0.0980  8 Cd 2.95-3.24
Cd  0.9359  0.4591  0.4591  8 Cd 2.97-3.24

Properties
Density of states at the Fermi level: 0.33 states/eV/atom
Total moment: 0.00 μB/atom
Space-group type: R3m
Calculated volume: 465.1 Å³/cell

***

10.
DFT (GGA-PBE) results for crystalline Mg5Tl4Cd2 at its relaxed geometry.

a b c (Å): 8.4126 19.1018 3.3678
angles (deg): 90.00 90.00 90.00
With the nearest neighbours (Å) after each atom.
Fractional positions:
Mg  0.0000  0.0000  0.0000  8 Tl 3.19-3.29, 4 Mg 3.37-3.48
Mg  0.1216  0.4258  0.0000  2 Cd 3.03, 6 Tl 3.17-3.26, 2 Mg 3.37
Mg  0.2217  0.2033  0.0000  4 Cd 3.01-3.05, 4 Tl 3.25-3.36, 2 Mg 3.37
Mg  0.2783  0.7033  0.0000  4 Cd 3.01-3.05, 4 Tl 3.25-3.36, 2 Mg 3.37
Mg  0.3784  0.9258  0.0000  2 Cd 3.03, 6 Tl 3.17-3.26, 2 Mg 3.37
Mg  0.5000  0.5000  0.0000  8 Tl 3.19-3.29, 4 Mg 3.37-3.48
Mg  0.6216  0.0742  0.0000  2 Cd 3.03, 6 Tl 3.17-3.26, 2 Mg 3.37
Mg  0.7217  0.2967  0.0000  4 Cd 3.01-3.05, 4 Tl 3.25-3.36, 2 Mg 3.37
Mg  0.7783  0.7967  0.0000  4 Cd 3.01-3.05, 4 Tl 3.25-3.36, 2 Mg 3.37
Mg  0.8784  0.5742  0.0000  2 Cd 3.03, 6 Tl 3.17-3.26, 2 Mg 3.37
Tl  0.0941  0.8582  0.5000  6 Mg 3.20-3.36, 2 Cd 3.20-3.39, 2 Tl 3.37
Tl  0.2087  0.5609  0.5000  8 Mg 3.17-3.26, 1 Cd 3.29, 2 Tl 3.37
Tl  0.2913  0.0609  0.5000  8 Mg 3.17-3.26, 1 Cd 3.29, 2 Tl 3.37
Tl  0.4059  0.3582  0.5000  6 Mg 3.20-3.36, 2 Cd 3.20-3.39, 2 Tl 3.37
Tl  0.5941  0.6418  0.5000  6 Mg 3.20-3.36, 2 Cd 3.20-3.39, 2 Tl 3.37
Tl  0.7087  0.9391  0.5000  8 Mg 3.17-3.26, 1 Cd 3.29, 2 Tl 3.37
Tl  0.7913  0.4391  0.5000  8 Mg 3.17-3.26, 1 Cd 3.29, 2 Tl 3.37
Tl  0.9059  0.1418  0.5000  6 Mg 3.20-3.36, 2 Cd 3.20-3.39, 2 Tl 3.37
Cd  0.0242  0.3010  0.5000  6 Mg 3.01-3.05, 2 Tl 3.20-3.29, 2 Cd 3.37
Cd  0.4758  0.8010  0.5000  6 Mg 3.01-3.05, 2 Tl 3.20-3.29, 2 Cd 3.37
Cd  0.5242  0.1990  0.5000  6 Mg 3.01-3.05, 2 Tl 3.20-3.29, 2 Cd 3.37
Cd  0.9758  0.6990  0.5000  6 Mg 3.01-3.05, 2 Tl 3.20-3.29, 2 Cd 3.37

Properties
Density of states at the Fermi level: 0.47 states/eV/atom
Total moment: 0.00 μB/atom
Space-group type: Pbam
Calculated volume: 541.2 Å³/cell

***

11.
DFT (GGA-PBE) results for crystalline MgTlCd4 at its relaxed geometry.

a b c (Å): 8.7862 8.7862 9.9272
angles (deg): 90.00 90.00 157.81
With the nearest neighbours (Å) after each atom.
Fractional positions:
Mg  0.2485  0.7515  0.7500  7 Cd 3.02-3.09, 2 Tl 3.07
Mg  0.7515  0.2485  0.2500  7 Cd 3.02-3.09, 2 Tl 3.07
Tl  0.4003  0.5997  0.2500  1 Cd 3.04, 2 Mg 3.07, 2 Tl 3.38
Tl  0.5997  0.4003  0.7500  1 Cd 3.04, 2 Mg 3.07, 2 Tl 3.38
Cd  0.0000  0.0000  0.0000  6 Cd 3.01-3.28
Cd  0.0000  0.0000  0.5000  6 Cd 3.01-3.28
Cd  0.1736  0.8264  0.0329  5 Cd 3.01-3.21, 3 Mg 3.05-3.09
Cd  0.1736  0.8264  0.4671  5 Cd 3.01-3.21, 3 Mg 3.05-3.09
Cd  0.4234  0.5766  0.7500  1 Mg 3.02, 1 Tl 3.04, 8 Cd 3.21-3.28
Cd  0.5766  0.4234  0.2500  1 Mg 3.02, 1 Tl 3.04, 8 Cd 3.21-3.28
Cd  0.8264  0.1736  0.5329  5 Cd 3.01-3.21, 3 Mg 3.05-3.09
Cd  0.8264  0.1736  0.9671  5 Cd 3.01-3.21, 3 Mg 3.05-3.09

Properties
E above lowest polymorph: 0.004 eV per atom
Density of states at the Fermi level: 0.37 states/eV/atom
Total moment: 0.00 μB/atom
Space-group type: Cmcm
Calculated volume: 289.4 Å³/cell

***

12.
DFT (GGA-PBE) results for crystalline MgTlCd at its relaxed geometry.

a b c (Å): 7.0589 7.0589 7.0589
angles (deg): 152.75 152.75 38.92
With the nearest neighbours (Å) after each atom.
Fractional positions:
Mg  0.0000  0.0000  0.0000  4 Cd 3.06, 4 Tl 3.28, 4 Mg 3.33
Tl  0.3284  0.3284  0.0000  4 Mg 3.28, 4 Tl 3.33, 4 Cd 3.36
Cd  0.6476  0.6476  0.0000  4 Mg 3.06, 4 Cd 3.33, 4 Tl 3.36

Properties
E above lowest polymorph: 0.005 eV per atom
Density of states at the Fermi level: 0.53 states/eV/atom
Total moment: 0.00 μB/atom
Space-group type: I4mm
Calculated volume: 73.6 Å³/cell

***

Calculated ΔE_f, 0.020 0.020 -0.023 -0.084 -0.011 -0.015 -0.003 0.006 0.023 -0.027 0.014 -0.004 eV/atom (same order as the records).
Calculated density, 9.75 4.48 7.19 5.70 5.57 5.73 6.44 7.47 7.97 7.14 7.78 7.70 Mg/m³ (same order as the records).
Calculated energy, -51.306 -16.050 -11.250 -17.523 -33.004 -14.675 -19.976 -21.557 -20.536 -39.120 -15.070 -4.888 eV/cell (same order as the records).